[1]
GeMo3O: optimized geometry, PBE with a Hubbard U.

```
GeMo3O
1.0
4.169 0.000 0.000
0.000 4.169 0.000
0.000 0.000 4.169
O Mo Ge
1 3 1
Direct
0.000 0.000 0.000
0.000 0.000 0.500
0.000 0.500 0.000
0.500 0.000 0.000
0.500 0.500 0.500
```

Summary:
- Symmetry: No. 221
- Energy above the most stable polymorph in this dataset: 0.0000 eV/atom
- E: -5.557 eV/atom
- N(E_F): 2.60 states/eV per cell

---

[2]
GeMoO2: optimized geometry, PBE with a Hubbard U.

```
GeMoO2
1.0
-6.091 -2.413 2.013
-4.139 -3.655 4.060
-5.155 -0.764 4.452
O Mo Ge
2 1 1
Direct
0.107 0.107 0.107
0.893 0.893 0.893
0.500 0.500 0.500
0.000 0.000 0.000
```

Summary:
- Symmetry: No. 166
- E: -6.406 eV/atom
- N(E_F): 0.53 states/eV per cell

---

[3]
Ge3MoO: optimized geometry, PBE with a Hubbard U.

```
Ge3MoO
1.0
-3.687 0.758 -2.301
2.177 -0.801 -3.752
-1.063 -4.272 0.295
Ge O Mo
3 1 1
Direct
0.000 0.000 0.500
0.500 0.000 0.000
0.000 0.500 0.000
0.000 0.000 0.000
0.500 0.500 0.500
```

Summary:
- Symmetry: No. 221
- Energy above the most stable polymorph in this dataset: 0.0000 eV/atom
- E: -4.914 eV/atom
- N(E_F): 3.41 states/eV per cell

---

[4]
GeMoO4: optimized geometry, PBE with a Hubbard U.

```
GeMoO4
1.0
-4.174 -0.192 -3.660
2.642 -4.868 0.421
-2.121 1.254 4.979
O Mo Ge
8 2 2
Direct
0.765 0.073 0.307
0.765 0.458 0.693
0.289 0.484 0.805
0.208 0.015 0.193
0.679 0.484 0.195
0.823 0.015 0.807
0.234 0.539 0.305
0.234 0.929 0.695
0.502 0.002 0.500
0.752 0.752 0.000
0.000 0.500 0.500
0.250 0.250 0.000
```

Summary:
- Symmetry: No. 109
- Energy above the most stable polymorph in this dataset: 0.0000 eV/atom
- E: -6.911 eV/atom

---

[5]
GeMoO: optimized geometry, PBE with a Hubbard U.

```
GeMoO
1.0
-1.798 -2.469 0.976
1.205 0.128 2.545
-8.008 6.769 2.366
Ge Mo O
2 2 2
Direct
0.750 0.173 0.765
0.250 0.827 0.235
0.750 0.319 0.414
0.250 0.681 0.586
0.750 0.708 0.870
0.250 0.292 0.130
```

Summary:
- Symmetry: No. 11
- E: -5.519 eV/atom
- N(E_F): 1.21 states/eV per cell

---

[6]
GeMo2O: optimized geometry, PBE with a Hubbard U.

```
GeMo2O
1.0
0.126 -3.876 -1.833
-1.181 -3.467 2.232
-3.650 -2.034 -0.969
O Ge Mo
1 1 2
Direct
0.000 0.000 0.000
0.500 0.500 0.500
0.250 0.250 0.250
0.750 0.750 0.750
```

Summary:
- Symmetry: No. 225
- Energy above the most stable polymorph in this dataset: 0.4773 eV/atom
- E: -5.199 eV/atom
- N(E_F): 2.25 states/eV per cell

---

[7]
Ge2MoO6: optimized geometry, PBE with a Hubbard U.

```
Ge2MoO6
1.0
-5.528 3.945 0.708
-1.101 -1.583 6.550
1.870 4.565 2.902
O Ge Mo
12 4 2
Direct
0.815 0.956 0.642
0.185 0.044 0.358
0.369 0.369 0.951
0.904 0.372 0.293
0.956 0.815 0.142
0.628 0.096 0.207
0.044 0.185 0.858
0.369 0.369 0.451
0.631 0.631 0.549
0.631 0.631 0.049
0.372 0.904 0.793
0.096 0.628 0.707
0.610 0.784 0.761
0.784 0.610 0.261
0.390 0.216 0.239
0.216 0.390 0.739
0.907 0.093 0.250
0.093 0.907 0.750
```

Summary:
- Symmetry: No. 15
- E: -6.719 eV/atom
- N(E_F): 0.00 states/eV per cell

---

[8]
Ge2MoPO: optimized geometry, PBE with a Hubbard U.

```
Ge2MoPO
1.0
-4.801 1.093 -0.262
-0.740 -3.812 -2.356
-0.787 -2.447 4.207
P O Ge Mo
1 1 2 1
Direct
0.000 0.500 0.000
0.500 0.500 0.500
0.000 0.000 0.500
0.500 0.000 0.000
0.000 0.000 0.000
```

Summary:
- Symmetry: No. 123
- E: -4.442 eV/atom
- N(E_F): 5.27 states/eV per cell

---

[9]
GeMoPb2O6: optimized geometry, PBE with a Hubbard U.

```
GeMoPb2O6
1.0
-3.318 -1.271 3.275
0.789 -5.239 -1.233
3.874 -0.312 3.805
O Mo Ge Pb
6 1 1 2
Direct
0.702 0.241 0.759
0.702 0.759 0.759
0.191 0.500 0.500
0.702 0.241 0.241
0.218 0.000 0.000
0.702 0.759 0.241
0.580 0.500 0.500
0.581 0.000 0.000
0.036 0.500 0.000
0.036 0.000 0.500
```

Summary:
- Symmetry: No. 99
- E: -6.232 eV/atom
- N(E_F): 2.70 states/eV per cell

---

[10]
PmGe2MoO8: optimized geometry, PBE with a Hubbard U.

```
PmGe2MoO8
1.0
5.856 0.045 0.000
-2.557 5.268 0.000
-1.649 -2.656 4.951
Pm O Ge Mo
1 8 2 1
Direct
0.250 0.750 0.500
0.290 0.459 0.169
0.880 0.710 0.169
0.931 0.235 0.304
0.541 0.710 0.831
0.765 0.069 0.696
0.373 0.069 0.304
0.290 0.120 0.831
0.931 0.627 0.696
0.750 0.250 0.500
0.500 0.500 0.000
0.000 0.000 0.000
```

Summary:
- Symmetry: No. 119
- E: -6.963 eV/atom
- N(E_F): 0.00 states/eV per cell

---

[11]
Pm2GeMoO8: optimized geometry, PBE with a Hubbard U.

```
Pm2GeMoO8
1.0
5.569 0.000 0.000
-2.784 4.822 0.000
0.000 0.000 5.647
Mo O Pm Ge
1 8 2 1
Direct
0.000 0.000 0.500
0.153 0.847 0.208
0.667 0.333 0.479
0.847 0.694 0.792
0.847 0.153 0.792
0.153 0.306 0.208
0.333 0.667 0.521
0.306 0.153 0.792
0.694 0.847 0.208
0.333 0.667 0.881
0.667 0.333 0.119
0.000 0.000 0.000
```

Summary:
- Symmetry: No. 164
- E: -6.615 eV/atom
- N(E_F): 5.34 states/eV per cell

---

[12]
PmGeMoO5: optimized geometry, PBE with a Hubbard U.

```
PmGeMoO5
1.0
-3.512 -0.829 -4.369
-1.142 -4.064 3.780
-3.418 6.603 3.616
O Ge Mo Pm
10 2 2 2
Direct
0.036 0.645 0.816
0.645 0.036 0.316
0.407 0.318 0.096
0.318 0.407 0.596
0.355 0.964 0.684
0.123 0.877 0.250
0.682 0.593 0.404
0.877 0.123 0.750
0.593 0.682 0.904
0.964 0.355 0.184
0.323 0.677 0.750
0.677 0.323 0.250
0.341 0.659 0.250
0.659 0.341 0.750
0.000 0.000 0.000
0.000 0.000 0.500
```

Summary:
- Symmetry: No. 15
- E: -7.222 eV/atom
- N(E_F): 0.00 states/eV per cell